1.
Entry from the Alexandria database: a geometry-optimized SrCo4Sb12 structure (PBE-GGA).

Calculated values
As for the volume: 23.1 A^3/atom. As for the formation energy (no corrections): -0.25 eV/atom.

Geometry as extended XYZ:
```
17
Lattice="-4.612 4.612 4.612 4.612 -4.612 4.612 4.612 4.612 -4.612" Properties=species:S:1:pos:R:3 pbc="T T T"
Sr 0.000 0.000 0.000
Co 2.306 2.306 -2.306
Co 2.306 -2.306 2.306
Co -2.306 2.306 2.306
Co 2.306 2.306 2.306
Sb 3.106 0.000 1.498
Sb 6.118 0.000 1.498
Sb 4.612 3.114 -1.506
Sb 1.498 3.106 0.000
Sb 3.114 -1.506 4.612
Sb 0.000 1.498 3.106
Sb 4.612 3.114 1.506
Sb 1.498 6.118 0.000
Sb 3.114 1.506 4.612
Sb 0.000 1.498 6.118
Sb -1.506 4.612 3.114
Sb 1.506 4.612 3.114
```

***

2.
Entry from the Alexandria database: a geometry-optimized Rb2Sr2Pb15 structure (PBE-GGA).

Calculated values
As for the volume: 35.7 A^3/atom. The calculation puts the formation energy at -16.2 kJ per mole of atoms.

Geometry as extended XYZ:
```
19
Lattice="5.735 3.311 5.955 -5.735 3.311 5.955 0.000 -6.622 5.955" Properties=species:S:1:pos:R:3 pbc="T T T"
Rb 0.000 0.000 2.654
Rb 0.000 0.000 15.210
Sr 0.000 0.000 7.046
Sr 0.000 0.000 10.818
Pb -2.868 -1.656 5.955
Pb 0.000 -3.360 5.642
Pb -2.910 1.680 5.642
Pb -1.672 -2.896 8.932
Pb -3.344 0.000 8.932
Pb -2.910 -1.680 12.221
Pb -2.868 1.656 11.909
Pb 1.672 -2.896 8.932
Pb 0.000 3.311 5.955
Pb -1.672 2.896 8.932
Pb 2.910 1.680 5.642
Pb 3.344 0.000 8.932
Pb 1.672 2.896 8.932
Pb 2.910 -1.680 12.221
Pb 0.000 3.360 12.221
```

***

3.
Entry from the Alexandria database: a geometry-optimized PuInHgIr structure (PBE-GGA).

Calculated values
As for the volume: 21.5 A^3/atom. The calculation puts the formation energy at -7.0 kJ per mole of atoms.

Geometry as extended XYZ:
```
4
Lattice="0.000 3.503 3.503 3.503 0.000 3.503 3.503 3.503 0.000" Properties=species:S:1:pos:R:3 pbc="T T T"
Pu 0.000 0.000 0.000
In 3.503 3.503 3.503
Hg 5.254 5.254 5.254
Ir 1.751 1.751 1.751
```

***

4.
Entry from the Alexandria database: a geometry-optimized NpAgSn2 structure (PBE-GGA).

Calculated values
As for the volume: 24.0 A^3/atom. The polymorph energy (0 for the lowest one) is 205 meV per atom. The calculation puts the formation energy at 16.0 kJ per mole of atoms.

Geometry as extended XYZ:
```
4
Lattice="1.586 0.916 10.995 -1.586 0.916 10.995 0.000 -1.831 10.995" Properties=species:S:1:pos:R:3 pbc="T T T"
Np 0.000 0.000 0.000
Ag 0.000 0.000 16.492
Sn 0.000 0.000 13.748
Sn 0.000 0.000 19.236
```

***

5.
Entry from the Alexandria database: a geometry-optimized Cs2RbNp3F12 structure (PBE-GGA).

Calculated values
As for the volume: 24.9 A^3/atom. As for the formation energy (no corrections): -3.19 eV/atom.

Geometry as extended XYZ:
```
18
Lattice="4.414 2.548 6.652 -4.414 2.548 6.652 0.000 -5.097 6.652" Properties=species:S:1:pos:R:3 pbc="T T T"
Cs 0.000 0.000 2.586
Cs 0.000 0.000 17.369
Rb 0.000 0.000 9.978
Np -2.207 -1.274 6.652
Np -2.207 1.274 13.303
Np 0.000 2.548 6.652
F -2.459 -1.420 8.862
F 0.000 -1.928 6.993
F -1.670 0.964 6.993
F 0.000 -2.840 11.093
F -2.459 1.420 11.093
F -1.670 -0.964 12.962
F 1.670 0.964 6.993
F 2.459 -1.420 8.862
F 0.000 2.840 8.862
F 1.670 -0.964 12.962
F 0.000 1.928 12.962
F 2.459 1.420 11.093
```

***

6.
Entry from the Alexandria database: a geometry-optimized La2OsBr structure (PBE-GGA).

Calculated values
As for the volume: 28.8 A^3/atom. The polymorph energy (0 for the lowest one) is 24 meV per atom. As for the formation energy (no corrections): -0.78 eV/atom.

Geometry as extended XYZ:
```
16
Lattice="4.431 -8.354 0.000 4.431 8.354 0.000 -3.874 0.000 6.217" Properties=species:S:1:pos:R:3 pbc="T T T"
La -0.730 3.175 4.418
La 0.864 1.055 1.251
La -1.073 -1.055 4.360
La 1.208 -3.175 1.310
La 3.781 3.175 4.908
La 6.062 1.055 1.858
La 4.124 -1.055 4.966
La 5.718 -3.175 1.799
Os 3.463 7.066 1.554
Os 1.526 5.017 4.663
Os 3.463 -5.017 1.554
Os 1.526 -7.066 4.663
Br 3.463 2.904 1.554
Br 1.526 0.935 4.663
Br 3.463 -0.935 1.554
Br 1.526 -2.904 4.663
```

***

7.
Entry from the Alexandria database: a geometry-optimized NpTl2Au2O6 structure (PBE-GGA).

Calculated values
As for the volume: 18.3 A^3/atom. As for the formation energy (no corrections): -1.08 eV/atom.

Geometry as extended XYZ:
```
11
Lattice="3.237 1.869 5.540 -3.237 1.869 5.540 0.000 -3.737 5.540" Properties=species:S:1:pos:R:3 pbc="T T T"
Np 0.000 0.000 0.000
Tl 0.000 0.000 3.620
Tl 0.000 0.000 12.999
Au 0.000 0.000 6.816
Au 0.000 0.000 9.803
O -1.848 -1.067 9.825
O 0.000 -2.134 6.795
O -1.848 1.067 6.795
O 1.848 -1.067 9.825
O 0.000 2.134 9.825
O 1.848 1.067 6.795
```

***

8.
Entry from the Alexandria database: a geometry-optimized PaSb2I structure (PBE-GGA).

Calculated values
As for the volume: 30.3 A^3/atom. The polymorph energy (0 for the lowest one) is 0 meV per atom. As for the formation energy (no corrections): -0.36 eV/atom.

Geometry as extended XYZ:
```
4
Lattice="4.101 0.000 0.000 0.000 4.101 0.000 0.000 0.000 7.219" Properties=species:S:1:pos:R:3 pbc="T T T"
Pa 0.000 0.000 0.000
Sb 2.050 2.050 1.411
Sb 2.050 2.050 5.808
I 0.000 0.000 3.610
```

***

9.
Entry from the Alexandria database: a geometry-optimized Co2CuSb structure (PBE-GGA).

Calculated values
As for the volume: 14.2 A^3/atom. As for the formation energy (no corrections): 0.27 eV/atom.

Geometry as extended XYZ:
```
4
Lattice="3.236 0.000 0.000 0.000 3.236 0.000 0.000 0.000 5.433" Properties=species:S:1:pos:R:3 pbc="T T T"
Co 0.000 0.000 0.000
Co 1.618 1.618 1.210
Cu 0.000 0.000 2.422
Sb 1.618 1.618 4.007
```

***

10.
Entry from the Alexandria database: a geometry-optimized Ta5Pt structure (PBE-GGA).

Calculated values
As for the volume: 18.4 A^3/atom. The polymorph energy (0 for the lowest one) is 457 meV per atom. The calculation puts the formation energy at 17.7 kJ per mole of atoms.

Geometry as extended XYZ:
```
6
Lattice="0.000 3.811 3.811 3.811 0.000 3.811 3.811 3.811 0.000" Properties=species:S:1:pos:R:3 pbc="T T T"
Ta 0.000 0.000 0.000
Ta 4.773 2.848 2.848
Ta 2.848 4.773 2.848
Ta 2.848 2.848 4.773
Ta 4.773 4.773 4.773
Pt 1.905 1.905 1.905
```

***

11.
Entry from the Alexandria database: a geometry-optimized Na3RuBr7 structure (PBE-GGA).

Calculated values
As for the volume: 35.2 A^3/atom. As for the formation energy (no corrections): -0.91 eV/atom.

Geometry as extended XYZ:
```
11
Lattice="6.000 -4.497 0.000 6.000 4.497 0.000 -0.489 0.000 7.174" Properties=species:S:1:pos:R:3 pbc="T T T"
Na 0.000 0.000 0.000
Na 7.944 2.027 3.307
Na 7.944 -2.027 3.307
Ru 7.673 0.000 6.915
Br 0.849 0.000 2.685
Br 6.297 1.765 5.761
Br 6.534 0.000 1.665
Br 9.546 1.779 0.814
Br 6.297 -1.765 5.761
Br 9.347 0.000 4.963
Br 9.546 -1.779 0.814
```

***

12.
Entry from the Alexandria database: a geometry-optimized Sc3TlNi2 structure (PBE-GGA).

Calculated values
As for the volume: 18.4 A^3/atom. The calculation puts the formation energy at -39.8 kJ per mole of atoms.

Geometry as extended XYZ:
```
6
Lattice="3.223 0.000 0.000 0.000 3.223 0.000 0.000 0.000 10.649" Properties=species:S:1:pos:R:3 pbc="T T T"
Sc 0.000 0.000 0.000
Sc 0.000 0.000 3.115
Sc 0.000 0.000 7.535
Tl 1.612 1.612 5.325
Ni 1.612 1.612 1.599
Ni 1.612 1.612 9.050
```

***

| no. | raw total energy (eV per atom) |
| --- | --- |
| 1 | -4.93 |
| 2 | -3.37 |
| 3 | -6.63 |
| 4 | -5.78 |
| 5 | -6.74 |
| 6 | -6.47 |
| 7 | -5.99 |
| 8 | -5.18 |
| 9 | -5.34 |
| 10 | -10.70 |
| 11 | -3.17 |
| 12 | -5.90 |